*1*
Computed, not measured: InGaBi after structural relaxation at the PBE level of DFT.

Its magnetic moment is 0.00 μB/f.u. The calculation puts the density of states at the Fermi level at 1.40 states/eV/f.u.

The space group is P-1 (No. 2) and the conventional cell measures 4.702, 4.760 and 7.674 Å, with angles of 72.06, 85.72 and 89.51 degrees. Symmetry generates all atoms from In at (0.000, 0.000, 0.000), In at (0.500, 0.500, 0.000), Ga at (0.005, 0.651, 0.685) and Bi at (0.430, 0.827, 0.349).

*2*
Computed, not measured: InGaBi after structural relaxation at the PBE level of DFT.

Its magnetic moment is 0.00 μB/f.u. The calculation puts the density of states at the Fermi level at 1.02 states/eV/f.u.

The space group is P-1 (No. 2) and the conventional cell measures 3.420, 5.802 and 8.710 Å, with angles of 105.69, 100.23 and 90.07 degrees. Symmetry generates all atoms from In at (0.073, 0.299, 0.135), Ga at (0.248, 0.688, 0.500) and Bi at (0.368, 0.152, 0.756).

Relative energies with respect to the most stable structure, expressed in kJ/mol of atoms: *1* 1.3; *2* 0.0.